Material: Rb2MnFeF6
Method: DFT, PBE with a Hubbard U
State: relaxed

size of the total moment = 9.0 μB/cell
DOS(E_F) = 26.468 states/eV/f.u.
energy = -5.2095 eV/atom
symmetry = I4/mmm (139)

Cell: 6.026 6.026 6.049 Å, 60.13 60.13 90.00°
Each line ends with the local moment (μB).
Atoms (fractional coordinates):
F (0.250, 0.250, 0.500)  0.04
F (0.246, 0.754, 0.000)  0.04
F (0.754, 0.754, 0.000)  0.04
Rb (0.250, 0.750, 0.500)  0.00
F (0.750, 0.750, 0.500)  0.04
F (0.754, 0.246, 0.000)  0.04
Rb (0.750, 0.250, 0.500)  0.00
Fe (0.000, 0.000, 0.000)  3.83
Mn (0.500, 0.500, 0.000)  4.70
F (0.246, 0.246, 0.000)  0.04